# 1
A plane-wave DFT calculation with GGA-PBE was carried out for a relaxed Y3As5Rh6 crystal.

It has space group Pmmn (No. 59, origin choice 2), with a = 3.999 Å, b = 12.672 Å, c = 9.791 Å, α = 90.00°, β = 90.00° and γ = 90.00°. Symmetry generates all atoms from Y at (0.250, 0.088, 0.245), Y at (0.250, 0.750, 0.264), As at (0.250, 0.080, 0.844), As at (0.250, 0.631, 0.535), As at (0.250, 0.750, 0.856), Rh at (0.250, 0.055, 0.597), Rh at (0.250, 0.250, 0.484), Rh at (0.250, 0.250, 0.986) and Rh at (0.250, 0.583, 0.009).

Its raw total energy is -7.14 eV per atom. The density of states at the Fermi level is 0.5330 states/eV per atom. The calculation puts the energy of formation at -0.94 eV/atom.

# 2
A plane-wave DFT calculation with GGA-PBE was carried out for a relaxed LiSb2Se4 crystal.

It has space group C2/m (No. 12), with a = 14.809 Å, b = 3.947 Å, c = 6.850 Å, α = 90.00°, β = 114.92° and γ = 90.00°. Symmetry generates all atoms from Li at (0.000, 0.000, 0.000), Sb at (0.240, 0.500, 0.732), Se at (0.119, 0.000, 0.456) and Se at (0.126, 0.500, 0.976).

The calculation puts the raw formation energy at -285.7 kJ/mol of formula units. Its raw total energy is -3.87 eV per atom. The density of states at the Fermi level is 0.4116 states/eV per atom. The calculation puts the distance to the lowest polymorph of the same formula at 0 meV/atom.

# 3
A plane-wave DFT calculation with GGA-PBE was carried out for a relaxed CsPmP2O6 crystal.

It has space group C2/c (No. 15), with a = 8.985 Å, b = 10.598 Å, c = 7.967 Å, α = 90.00°, β = 110.10° and γ = 90.00°. Symmetry generates all atoms from Cs at (0.000, 0.136, 0.250), Pm at (0.000, 0.433, 0.750), P at (0.239, 0.127, 0.792), O at (0.088, 0.387, 0.068), O at (0.181, 0.264, 0.751) and O at (0.242, 0.049, 0.629).

The calculation puts the raw formation energy at -2203.0 kJ/mol of formula units. Its raw total energy is -6.90 eV per atom. The density of states at the Fermi level is 0.0109 states/eV per atom.